Record 1
This record from Alexandria via LeMat-Bulk describes CuPt4Br after structural relaxation. The functional is PBE-GGA. Values from VASP.

Cell and atoms, written as Quantum ESPRESSO input:
```
&SYSTEM
  ibrav = 0, nat = 6, ntyp = 3
/
ATOMIC_SPECIES
Cu 63.55 Cu.upf
Pt 195.08 Pt.upf
Br 79.90 Br.upf
ATOMIC_POSITIONS crystal
Cu 0.0000 0.0000 0.0000
Pt 0.3744 0.3744 0.3744
Pt 0.3744 0.3744 0.8769
Pt 0.3744 0.8769 0.3744
Pt 0.8769 0.3744 0.3744
Br 0.7500 0.7500 0.7500
CELL_PARAMETERS angstrom
0.0000 3.7783 3.7783
3.7783 0.0000 3.7783
3.7783 3.7783 0.0000
```

=====

Record 2
This record from Alexandria via LeMat-Bulk describes CuPt2Br after structural relaxation. The functional is PBE-GGA. Values from VASP.

Cell and atoms, written as Quantum ESPRESSO input:
```
&SYSTEM
  ibrav = 0, nat = 4, ntyp = 3
/
ATOMIC_SPECIES
Cu 63.55 Cu.upf
Pt 195.08 Pt.upf
Br 79.90 Br.upf
ATOMIC_POSITIONS crystal
Cu 0.0000 0.0000 0.0000
Pt 0.0000 0.0000 0.4582
Pt 0.5000 0.5000 0.2162
Br 0.5000 0.5000 0.7792
CELL_PARAMETERS angstrom
1.4386 -2.4709 0.0000
1.4386 2.4709 0.0000
0.0000 0.0000 9.7223
```

=====

Record 3
This record from Alexandria via LeMat-Bulk describes CuPt2Br2 after structural relaxation. The functional is PBE-GGA. Values from VASP.

Cell and atoms, written as Quantum ESPRESSO input:
```
&SYSTEM
  ibrav = 0, nat = 5, ntyp = 3
/
ATOMIC_SPECIES
Cu 63.55 Cu.upf
Pt 195.08 Pt.upf
Br 79.90 Br.upf
ATOMIC_POSITIONS crystal
Cu 0.0000 0.0000 0.0000
Pt 0.2500 0.7500 0.5000
Pt 0.7500 0.2500 0.5000
Br 0.4027 0.4027 0.0000
Br 0.5973 0.5973 0.0000
CELL_PARAMETERS angstrom
-1.8224 1.8224 8.0364
1.8224 -1.8224 8.0364
1.8224 1.8224 -8.0364
```

=====

Record 4
This record from Alexandria via LeMat-Bulk describes CuPt2Br after structural relaxation. The functional is PBE-GGA. Values from VASP.

Cell and atoms, written as Quantum ESPRESSO input:
```
&SYSTEM
  ibrav = 0, nat = 4, ntyp = 3
/
ATOMIC_SPECIES
Cu 63.55 Cu.upf
Pt 195.08 Pt.upf
Br 79.90 Br.upf
ATOMIC_POSITIONS crystal
Cu 0.0000 0.0000 0.0000
Pt 0.2799 0.2799 0.2799
Pt 0.7201 0.7201 0.7201
Br 0.5000 0.5000 0.5000
CELL_PARAMETERS angstrom
1.3842 0.7992 13.0949
-1.3842 0.7992 13.0949
0.0000 -1.5983 13.0949
```

=====

Record 5
This record from Alexandria via LeMat-Bulk describes RbCuPtBr6 after structural relaxation. The functional is PBE-GGA. Values from VASP.

Cell and atoms, written as Quantum ESPRESSO input:
```
&SYSTEM
  ibrav = 0, nat = 9, ntyp = 4
/
ATOMIC_SPECIES
Rb 85.47 Rb.upf
Cu 63.55 Cu.upf
Pt 195.08 Pt.upf
Br 79.90 Br.upf
ATOMIC_POSITIONS crystal
Rb 0.0000 0.0000 0.0000
Cu 0.3802 0.2165 0.5094
Pt 0.6787 0.6157 0.5001
Br 0.0095 0.3400 0.6590
Br 0.3712 0.9064 0.3393
Br 0.4150 0.5868 0.7403
Br 0.6215 0.3357 0.3339
Br 0.6912 0.9141 0.6709
Br 0.9637 0.5994 0.2586
CELL_PARAMETERS angstrom
6.6276 0.0000 0.0000
3.1669 6.2559 0.0000
0.5781 -0.1447 7.6163
```

=====

Record 6
This record from Alexandria via LeMat-Bulk describes CuPt2SBr after structural relaxation. The functional is PBE-GGA. Values from VASP.

Cell and atoms, written as Quantum ESPRESSO input:
```
&SYSTEM
  ibrav = 0, nat = 5, ntyp = 4
/
ATOMIC_SPECIES
Cu 63.55 Cu.upf
Pt 195.08 Pt.upf
S 32.06 S.upf
Br 79.90 Br.upf
ATOMIC_POSITIONS crystal
Cu 0.0000 0.0000 0.0000
Pt 0.0000 0.5000 0.0000
Pt 0.5000 0.0000 0.0000
S 0.0000 0.0000 0.5000
Br 0.5000 0.5000 0.5000
CELL_PARAMETERS angstrom
4.9047 0.0000 0.0000
0.0000 4.9047 0.0000
0.0000 0.0000 4.1062
```

=====

Record 7
This record from Alexandria via LeMat-Bulk describes CuPtSeBr2 after structural relaxation. The functional is PBE-GGA. Values from VASP.

Cell and atoms, written as Quantum ESPRESSO input:
```
&SYSTEM
  ibrav = 0, nat = 5, ntyp = 4
/
ATOMIC_SPECIES
Cu 63.55 Cu.upf
Pt 195.08 Pt.upf
Se 78.96 Se.upf
Br 79.90 Br.upf
ATOMIC_POSITIONS crystal
Cu 0.0000 0.0000 0.0000
Pt 0.5000 0.5000 0.5000
Se 0.5000 0.5000 0.0000
Br 0.0000 0.5000 0.5000
Br 0.5000 0.0000 0.5000
CELL_PARAMETERS angstrom
5.2488 0.0000 0.0000
0.0000 5.2488 0.0000
0.0000 0.0000 4.8440
```

=====

Record 8
This record from Alexandria via LeMat-Bulk describes Tl2CuPtBr6 after structural relaxation. The functional is PBE-GGA. Values from VASP.

Cell and atoms, written as Quantum ESPRESSO input:
```
&SYSTEM
  ibrav = 0, nat = 20, ntyp = 4
/
ATOMIC_SPECIES
Tl 204.38 Tl.upf
Cu 63.55 Cu.upf
Pt 195.08 Pt.upf
Br 79.90 Br.upf
ATOMIC_POSITIONS crystal
Tl 0.1139 0.1139 0.1139
Tl 0.3042 0.3042 0.3042
Tl 0.6958 0.6958 0.6958
Tl 0.8861 0.8861 0.8861
Cu 0.4160 0.4160 0.4160
Cu 0.5840 0.5840 0.5840
Pt 0.0000 0.0000 0.0000
Pt 0.5000 0.5000 0.5000
Br 0.1348 0.6217 0.6217
Br 0.2077 0.2077 0.7062
Br 0.2077 0.7062 0.2077
Br 0.2938 0.7923 0.7923
Br 0.3783 0.3783 0.8652
Br 0.3783 0.8652 0.3783
Br 0.6217 0.1348 0.6217
Br 0.6217 0.6217 0.1348
Br 0.7062 0.2077 0.2077
Br 0.7923 0.2938 0.7923
Br 0.7923 0.7923 0.2938
Br 0.8652 0.3783 0.3783
CELL_PARAMETERS angstrom
3.6718 2.1199 12.5944
-3.6718 2.1199 12.5944
0.0000 -4.2398 12.5944
```

=====

Record 9
This record from Alexandria via LeMat-Bulk describes PuCu2Br6 after structural relaxation. The functional is PBE-GGA. Values from VASP.

Cell and atoms, written as Quantum ESPRESSO input:
```
&SYSTEM
  ibrav = 0, nat = 18, ntyp = 3
/
ATOMIC_SPECIES
Pu 244.00 Pu.upf
Cu 63.55 Cu.upf
Br 79.90 Br.upf
ATOMIC_POSITIONS crystal
Pu 0.0000 0.0000 0.0000
Pu 0.0000 0.5000 0.5000
Cu 0.4948 0.1340 0.0649
Cu 0.4948 0.3660 0.5649
Cu 0.5052 0.6340 0.4351
Cu 0.5052 0.8660 0.9351
Br 0.1506 0.7370 0.3892
Br 0.1506 0.7630 0.8892
Br 0.1960 0.2449 0.4286
Br 0.1960 0.2551 0.9286
Br 0.3843 0.5366 0.6771
Br 0.3843 0.9634 0.1771
Br 0.6157 0.0366 0.8229
Br 0.6157 0.4634 0.3229
Br 0.8040 0.7449 0.0714
Br 0.8040 0.7551 0.5714
Br 0.8494 0.2370 0.1108
Br 0.8494 0.2630 0.6108
CELL_PARAMETERS angstrom
6.6485 0.0000 0.0000
0.0000 8.0442 0.0000
-5.1054 0.0000 12.6751
```

=====

Record 10
This record from Alexandria via LeMat-Bulk describes PuCu2Br8 after structural relaxation. The functional is PBE-GGA. Values from VASP.

Cell and atoms, written as Quantum ESPRESSO input:
```
&SYSTEM
  ibrav = 0, nat = 11, ntyp = 3
/
ATOMIC_SPECIES
Pu 244.00 Pu.upf
Cu 63.55 Cu.upf
Br 79.90 Br.upf
ATOMIC_POSITIONS crystal
Pu 0.0000 0.0000 0.0000
Cu 0.1871 0.1871 0.6841
Cu 0.8129 0.8129 0.3159
Br 0.1213 0.6835 0.2071
Br 0.1506 0.1506 0.2930
Br 0.3165 0.8787 0.7929
Br 0.3535 0.3535 0.7027
Br 0.6465 0.6465 0.2973
Br 0.6835 0.1213 0.2071
Br 0.8494 0.8494 0.7070
Br 0.8787 0.3165 0.7929
CELL_PARAMETERS angstrom
6.8801 -4.3744 0.0000
6.8801 4.3744 0.0000
-0.5235 0.0000 6.5885
```

=====

Record 11
This record from Alexandria via LeMat-Bulk describes PuCu2Br8 after structural relaxation. The functional is PBE-GGA. Values from VASP.

Cell and atoms, written as Quantum ESPRESSO input:
```
&SYSTEM
  ibrav = 0, nat = 11, ntyp = 3
/
ATOMIC_SPECIES
Pu 244.00 Pu.upf
Cu 63.55 Cu.upf
Br 79.90 Br.upf
ATOMIC_POSITIONS crystal
Pu 0.0000 0.0000 0.0000
Cu 0.1941 0.1941 0.6823
Cu 0.8059 0.8059 0.3177
Br 0.0617 0.7313 0.2008
Br 0.2260 0.2260 0.3365
Br 0.2686 0.9383 0.7992
Br 0.4225 0.4225 0.8195
Br 0.5775 0.5775 0.1805
Br 0.7313 0.0617 0.2008
Br 0.7740 0.7740 0.6635
Br 0.9383 0.2686 0.7992
CELL_PARAMETERS angstrom
5.5863 -5.9033 0.0000
5.5863 5.9033 0.0000
-1.8110 0.0000 6.2888
```

=====

Record 12
This record from Alexandria via LeMat-Bulk describes PuCuBr5 after structural relaxation. The functional is PBE-GGA. Values from VASP.

Cell and atoms, written as Quantum ESPRESSO input:
```
&SYSTEM
  ibrav = 0, nat = 14, ntyp = 3
/
ATOMIC_SPECIES
Pu 244.00 Pu.upf
Cu 63.55 Cu.upf
Br 79.90 Br.upf
ATOMIC_POSITIONS crystal
Pu 0.0000 0.5000 0.0000
Pu 0.5000 0.0000 0.5000
Cu 0.1341 0.8659 0.7500
Cu 0.8659 0.1341 0.2500
Br 0.1554 0.1762 0.4577
Br 0.1716 0.5908 0.8319
Br 0.1762 0.1554 0.9577
Br 0.3310 0.6690 0.2500
Br 0.4092 0.8284 0.6681
Br 0.5908 0.1716 0.3319
Br 0.6690 0.3310 0.7500
Br 0.8238 0.8446 0.0423
Br 0.8284 0.4092 0.1681
Br 0.8446 0.8238 0.5423
CELL_PARAMETERS angstrom
5.4050 -5.1074 0.0000
5.4050 5.1074 0.0000
-5.0255 0.0000 9.2579
```

=====

no.,total energy (eV per formula unit)
1,-26.8
2,-16.3
3,-16.6
4,-16.6
5,-26.4
6,-17.4
7,-14.6
8,-29.5
9,-40.5
10,-43.4
11,-43.8
12,-33.8